Entry 1:
# UAl2SiGe PBE optimized geometry
data_UAl2SiGe
_cell_length_a 3.9062
_cell_length_b 6.5361
_cell_length_c 8.1519
_cell_angle_alpha 90.00
_cell_angle_beta 90.00
_cell_angle_gamma 107.39
_symmetry_space_group_name_H-M 'P 1'
_symmetry_Int_Tables_number 1
loop_
_symmetry_equiv_pos_as_xyz
'x,y,z'
loop_
_atom_site_label
_atom_site_type_symbol
_atom_site_fract_x
_atom_site_fract_y
_atom_site_fract_z
_atom_site_occupancy
U1 U 0.4236 0.8473 0.7500 1
U2 U 0.5764 0.1527 0.2500 1
Al1 Al 0.1889 0.3778 0.9355 1
Al2 Al 0.8111 0.6222 0.4355 1
Al3 Al 0.1889 0.3778 0.5645 1
Al4 Al 0.8111 0.6222 0.0645 1
Ge1 Ge 0.0000 0.0000 0.5000 1
Ge2 Ge 0.0000 0.0000 0.0000 1
Si1 Si 0.7470 0.4939 0.7500 1
Si2 Si 0.2530 0.5061 0.2500 1
# - spin magnetization (μB/f.u.) = 2.22
# - N(E_F) (states/eV/atom) = 1.142
# - ΔE_f (raw) (meV/atom) = 22
# - volume (Å³/atom) = 19.86



Entry 2:
# PSICl2 PBE optimized geometry
data_PSICl2
_cell_length_a 5.4367
_cell_length_b 5.4367
_cell_length_c 5.2055
_cell_angle_alpha 90.00
_cell_angle_beta 90.00
_cell_angle_gamma 90.00
_symmetry_space_group_name_H-M 'P 1'
_symmetry_Int_Tables_number 1
loop_
_symmetry_equiv_pos_as_xyz
'x,y,z'
loop_
_atom_site_label
_atom_site_type_symbol
_atom_site_fract_x
_atom_site_fract_y
_atom_site_fract_z
_atom_site_occupancy
Cl1 Cl 0.5000 0.0000 0.0000 1
Cl2 Cl 0.0000 0.5000 0.0000 1
S1 S 0.0000 0.0000 0.5000 1
I1 I 0.0000 0.0000 0.0000 1
P1 P 0.5000 0.5000 0.5000 1
# - spin magnetization (μB/f.u.) = 2.22
# - energy above the lowest structure with this stoichiometry (meV/atom) = 696
# - N(E_F) (states/eV/atom) = 0.899
# - ΔE_f (raw) (meV/atom) = 927
# - volume (Å³/atom) = 30.77